(1)
Density functional theory data (PBE) for RbSc3Pt after structural relaxation.

## Properties
- Calculated volume: 22.83 A^3/atom
- E above lowest polymorph: 1503.5 meV per atom

Lattice parameters (Å, degrees): 4.8510 4.8510 4.8510 90.00 90.00 90.00
Positions (direct):
Sc1 0.0000 0.5000 0.0000
Sc2 0.0000 0.0000 0.5000
Sc3 0.5000 0.0000 0.0000
Rb1 0.0000 0.0000 0.0000
Pt1 0.5000 0.5000 0.5000


(2)
Density functional theory data (PBE) for RbSc3Pt after structural relaxation.

## Properties
- Calculated volume: 29.73 A^3/atom
- E above lowest polymorph: 0.0 meV per atom

Lattice parameters (Å, degrees): 5.2971 5.2971 5.2971 90.00 90.00 90.00
Positions (direct):
Sc1 0.0000 0.5000 0.0000
Sc2 0.0000 0.0000 0.5000
Sc3 0.5000 0.0000 0.0000
Rb1 0.5000 0.5000 0.5000
Pt1 0.0000 0.0000 0.0000


| no. | VASP energy (eV for the cell shown) | calculated formation energy (eV/atom) |
| --- | --- | --- |
| 1 | -18.96 | 1.4082 |
| 2 | -26.48 | -0.0953 |